VASP calculation (PBE) on a relaxed structure of Ho7ErTh3.

Cell lengths 6.8839, 5.4851, 10.0705 Å; angles 90.00, 109.70, 90.00 degrees
Fractional coordinates of all 11 atoms:
1 Ho 0.0000 0.0000 0.0000
2 Ho 0.1391 0.5000 0.2925
3 Ho 0.3258 0.5000 0.6379
4 Ho 0.4155 0.0000 0.8289
5 Ho 0.5845 0.0000 0.1711
6 Ho 0.6742 0.5000 0.3621
7 Ho 0.8609 0.5000 0.7075
8 Er 0.5000 0.0000 0.5000
9 Th 0.0000 0.0000 0.5000
10 Th 0.2767 0.5000 0.9987
11 Th 0.7233 0.5000 0.0013

Computed properties:
Space group   P2/m
Formation energy from the elements   0.15 eV/atom
ΔE to the lowest computed polymorph   0 meV per atom
Spin magnetization   0.00 μB/cell
Calculated density   9.36 Mg/m³